VASP calculation (PBE) on a relaxed CaPm12Y5 crystal.

DFT formation energy: 43.8 kJ/mol of formula units
Space group: C2/m, No. 12

Cell: 10.8952 10.9210 6.3072 Å, 73.17 90.00 60.08°
Fractional coordinates of all 18 atoms:
Ca1 0.0000 0.0000 0.0000
Pm1 0.8285 0.0001 0.4999
Pm2 0.1715 0.0000 0.5000
Pm3 0.6620 0.0000 0.0000
Pm4 0.3381 0.0000 0.0000
Pm5 0.3381 0.6618 0.0013
Pm6 0.0002 0.6619 0.0014
Pm7 0.9999 0.3381 0.9986
Pm8 0.6620 0.3381 0.9987
Pm9 0.5007 0.3329 0.5013
Pm10 0.8336 0.6672 0.4987
Pm11 0.1664 0.3329 0.5013
Pm12 0.4993 0.6672 0.4987
Y1 0.5000 0.0000 0.5000
Y2 0.1687 0.6626 0.5093
Y3 0.8313 0.3374 0.4907
Y4 0.6667 0.6666 0.9965
Y5 0.3333 0.3333 0.0035